Entry 1:
The following is a PBE calculation of a relaxed Sm6Y8Zr crystal, from Alexandria.

Unit cell a=9.0846 b=9.0846 c=20.6187 alpha=90.00 beta=90.00 gamma=120.00
Space group R-3 (No. 148, hexagonal axes)
One atom of each set of equivalent atoms:
Sm (0.0690, 0.8162, 0.2084) x18
Y (0.0000, 0.0000, 0.0769) x6
Y (0.0841, 0.5255, 0.3050) x18
Zr (0.0000, 0.0000, 0.5000) x3

Summary:
**E_form**: 12.3 kJ/mol of atoms

Entry 2:
The following is a PBE calculation of a relaxed PuPa8Os2 crystal, from Alexandria.

Unit cell a=12.844 b=7.521 c=5.705 alpha=90.00 beta=104.75 gamma=90.00
Space group C2/m (No. 12)
One atom of each set of equivalent atoms:
Pu (0.000, 0.000, 0.000) x2
Pa (0.080, 0.500, 0.824) x4
Pa (0.102, 0.247, 0.290) x8
Pa (0.156, 0.000, 0.816) x4
Os (0.232, 0.500, 0.585) x4

Summary:
**E_form**: -0.8 kJ/mol of atoms

Entry 3:
The following is a PBE calculation of a relaxed LiY2Zn2Pt5 crystal, from Alexandria.

Unit cell a=9.617 b=9.617 c=3.763 alpha=90.00 beta=90.00 gamma=90.00
Space group P4/mbm (No. 127)
One atom of each set of equivalent atoms:
Li (0.000, 0.000, 0.000) x2
Y (0.175, 0.325, 0.000) x4
Zn (0.124, 0.624, 0.000) x4
Pt (0.000, 0.500, 0.500) x2
Pt (0.065, 0.800, 0.500) x8

Summary:
**E_form**: -77.0 kJ/mol of atoms

Entry 4:
The following is a PBE calculation of a relaxed Ac2InRh crystal, from Alexandria.

Unit cell a=3.772 b=3.772 c=8.458 alpha=90.00 beta=90.00 gamma=90.00
Space group P4/mmm (No. 123)
One atom of each set of equivalent atoms:
Ac (0.000, 0.000, 0.212) x2
In (0.500, 0.500, 0.500) x1
Rh (0.500, 0.500, 0.000) x1

Summary:
**E_form**: -45.5 kJ/mol of atoms

Entry 5:
The following is a PBE calculation of a relaxed Li2SbHOs crystal, from Alexandria.

Unit cell a=4.027 b=4.027 c=3.812 alpha=90.00 beta=90.00 gamma=90.00
Space group P4/mmm (No. 123)
One atom of each set of equivalent atoms:
Li (0.000, 0.500, 0.000) x2
Sb (0.000, 0.000, 0.500) x1
H (0.500, 0.500, 0.000) x1
Os (0.500, 0.500, 0.500) x1

Summary:
**Final energy**: -22.88 eV/cell

Entry 6:
The following is a PBE calculation of a relaxed BaP3Ru3 crystal, from Alexandria.

Unit cell a=13.122 b=4.019 c=11.612 alpha=90.00 beta=116.74 gamma=90.00
Space group C2/m (No. 12)
One atom of each set of equivalent atoms:
Ba (0.127, 0.000, 0.192) x4
P (0.118, 0.500, 0.947) x4
P (0.120, 0.500, 0.440) x4
P (0.121, 0.000, 0.684) x4
Ru (0.059, 0.500, 0.727) x4
Ru (0.188, 0.000, 0.907) x4
Ru (0.196, 0.000, 0.538) x4

Summary:
**E_form**: -67.3 kJ/mol of atoms

Entry 7:
The following is a PBE calculation of a relaxed AlCd2Ga2Pt5 crystal, from Alexandria.

Unit cell a=9.549 b=9.549 c=3.680 alpha=90.00 beta=90.00 gamma=90.00
Space group P4/mbm (No. 127)
One atom of each set of equivalent atoms:
Al (0.000, 0.000, 0.000) x2
Cd (0.171, 0.329, 0.000) x4
Ga (0.129, 0.629, 0.000) x4
Pt (0.000, 0.500, 0.500) x2
Pt (0.077, 0.809, 0.500) x8

Summary:
**E_form**: -46.8 kJ/mol of atoms

Entry 8:
The following is a PBE calculation of a relaxed Ce3MgFe crystal, from Alexandria.

Unit cell a=6.569 b=5.344 c=6.858 alpha=90.00 beta=97.49 gamma=90.00
Space group P2_1/m (No. 11)
One atom of each set of equivalent atoms:
Ce (0.001, 0.250, 0.351) x2
Ce (0.112, 0.750, 0.058) x2
Ce (0.450, 0.250, 0.355) x2
Mg (0.364, 0.250, 0.844) x2
Fe (0.294, 0.750, 0.397) x2

Summary:
**E_form**: 0.3 kJ/mol of atoms
**Excess energy over the best structure of this formula in the dataset**: 0.000 eV/atom

Entry 9:
The following is a PBE calculation of a relaxed ThMnNiP2 crystal, from Alexandria.

Unit cell a=3.755 b=3.755 c=11.111 alpha=90.00 beta=90.00 gamma=90.00
Space group I-4m2 (No. 119)
One atom of each set of equivalent atoms:
Th (0.000, 0.000, 0.000) x2
Mn (0.000, 0.500, 0.250) x2
Ni (0.000, 0.500, 0.750) x2
P (0.000, 0.000, 0.361) x4

Summary:
**E_form**: -90.4 kJ/mol of atoms

Entry 10:
The following is a PBE calculation of a relaxed CaTcRu2 crystal, from Alexandria.

Unit cell a=2.885 b=4.718 c=5.431 alpha=108.78 beta=101.52 gamma=92.01
Space group P1 (No. 1)
One atom of each set of equivalent atoms:
Ca (0.000, 0.000, 0.000) x1
Tc (0.657, 0.299, 0.575) x1
Ru (0.186, 0.715, 0.448) x1
Ru (0.517, 0.509, 0.023) x1

Summary:
**E_form**: 36.8 kJ/mol of atoms
**Excess energy over the best structure of this formula in the dataset**: 0.094 eV/atom

Entry 11:
The following is a PBE calculation of a relaxed CeTh2Te6 crystal, from Alexandria.

Unit cell a=7.349 b=7.349 c=13.961 alpha=90.00 beta=90.00 gamma=90.00
Space group P4_2/mnm (No. 136)
One atom of each set of equivalent atoms:
Ce (0.000, 0.000, 0.000) x2
Th (0.000, 0.000, 0.334) x4
Te (0.198, 0.198, 0.166) x8
Te (0.200, 0.200, 0.500) x4

Summary:
**Formation energy without anion corrections**: -1.05 eV per atom

Entry 12:
The following is a PBE calculation of a relaxed Dy3Er2Hg7 crystal, from Alexandria.

Unit cell a=5.156 b=22.825 c=5.423 alpha=90.00 beta=90.00 gamma=90.00
Space group Cmmm (No. 65)
One atom of each set of equivalent atoms:
Dy (0.000, 0.000, 0.000) x2
Dy (0.000, 0.166, 0.000) x4
Er (0.000, 0.356, 0.500) x4
Hg (0.000, 0.076, 0.500) x4
Hg (0.000, 0.222, 0.500) x4
Hg (0.000, 0.415, 0.000) x4
Hg (0.000, 0.500, 0.500) x2

Summary:
**E_form**: -29.2 kJ/mol of atoms